(1)
Entry from the Alexandria database: Sc2CoGeH after structural relaxation (PBE-GGA).

Summary:
E: -6.09 eV/atom
symmetry: No. 123
crystal system: tetragonal

Cell: 4.441 3.509 4.441 Å, 90.00 90.00 90.00°
Atoms (fractional coordinates):
Sc1 0.000 0.000 0.500
Sc2 0.500 0.000 0.000
H1 0.000 0.000 0.000
Ge1 0.500 0.500 0.500
Co1 0.000 0.500 0.000


(2)
Entry from the Alexandria database: CePmPr2P4 after structural relaxation (PBE-GGA).

Summary:
E: -6.77 eV/atom
symmetry: No. 10
crystal system: monoclinic
E_form: -12.3 eV/f.u.

Cell: 4.155 7.191 7.197 Å, 109.39 90.00 90.00°
Last column: magnetic moment on the atom in μB.
Atoms (fractional coordinates):
Ce1 0.500 0.500 0.000  0.39
Pm1 0.000 0.000 0.000  0.00
Pr1 0.500 0.000 0.500  0.01
Pr2 0.000 0.500 0.500  0.00
P1 0.500 0.251 0.243  -0.01
P2 0.500 0.749 0.757  -0.01
P3 0.000 0.256 0.759  -0.01
P4 0.000 0.744 0.241  -0.01


(3)
Entry from the Alexandria database: Nd2ScCd3 after structural relaxation (PBE-GGA).

Summary:
E: -3.40 eV/atom
symmetry: No. 123
crystal system: tetragonal
E_form: -1.8 eV/f.u.

Cell: 3.609 3.609 12.111 Å, 90.00 90.00 90.00°
Last column: magnetic moment on the atom in μB.
Atoms (fractional coordinates):
Nd1 0.500 0.500 0.819  0.12
Nd2 0.500 0.500 0.181  0.12
Sc1 0.500 0.500 0.500  0.02
Cd1 0.000 0.000 0.000  0.00
Cd2 0.000 0.000 0.638  0.00
Cd3 0.000 0.000 0.362  0.00


(4)
Entry from the Alexandria database: Zr5Hg2Sb after structural relaxation (PBE-GGA).

Summary:
E: -6.25 eV/atom
symmetry: No. 139
crystal system: tetragonal
ΔE_f (raw): -0.31 eV/atom

Cell: 4.575 4.575 8.943 Å, 104.82 104.82 90.00°
Atoms (fractional coordinates):
Zr1 0.500 0.500 0.000
Zr2 0.877 0.377 0.754
Zr3 0.377 0.877 0.754
Zr4 0.123 0.623 0.246
Zr5 0.623 0.123 0.246
Hg1 0.747 0.747 0.495
Hg2 0.253 0.253 0.505
Sb1 0.000 0.000 0.000


(5)
Entry from the Alexandria database: NbTlAsPt2 after structural relaxation (PBE-GGA).

Summary:
E: -5.33 eV/atom
symmetry: No. 123
crystal system: tetragonal
E_form: 2.5 eV/f.u.

Cell: 5.014 5.006 5.014 Å, 90.00 90.00 90.00°
Atoms (fractional coordinates):
As1 0.000 0.500 0.000
Tl1 0.500 0.500 0.500
Nb1 0.000 0.000 0.000
Pt1 0.000 0.000 0.500
Pt2 0.500 0.000 0.000


(6)
Entry from the Alexandria database: KTiWCl2 after structural relaxation (PBE-GGA).

Summary:
E: -3.71 eV/atom
symmetry: No. 123
crystal system: tetragonal
ΔE_f (raw): 1.42 eV/atom

Cell: 5.397 5.982 5.397 Å, 90.00 90.00 90.00°
Last column: magnetic moment on the atom in μB.
Atoms (fractional coordinates):
K1 0.000 0.000 0.000  0.05
Cl1 0.000 0.000 0.500  0.06
Cl2 0.500 0.000 0.000  0.05
W1 0.000 0.500 0.000  3.55
Ti1 0.500 0.500 0.500  -1.85


(7)
Entry from the Alexandria database: Sm3Y6Ho2Sc after structural relaxation (PBE-GGA).

Summary:
E: -5.67 eV/atom
symmetry: No. 12
crystal system: monoclinic
E_form: 0.4 eV/f.u.

Cell: 6.158 6.158 11.761 Å, 95.00 95.00 119.97°
Atoms (fractional coordinates):
Sm1 0.167 0.833 0.500
Sm2 0.833 0.167 0.500
Sm3 0.500 0.500 0.500
Y1 0.919 0.588 0.755
Y2 0.750 0.750 0.245
Y3 0.081 0.412 0.245
Y4 0.588 0.919 0.755
Y5 0.250 0.250 0.755
Y6 0.412 0.081 0.245
Ho1 0.334 0.666 0.000
Ho2 0.666 0.334 0.000
Sc1 0.000 0.000 0.000


(8)
Entry from the Alexandria database: Li2MgGa2Pd2 after structural relaxation (PBE-GGA).

Summary:
E: -3.71 eV/atom
symmetry: No. 12
crystal system: monoclinic
E_form: -4.1 eV/f.u.

Cell: 4.366 4.373 6.899 Å, 108.62 90.00 119.94°
Atoms (fractional coordinates):
Li1 0.146 0.292 0.437
Li2 0.854 0.708 0.563
Mg1 0.000 0.000 0.000
Ga1 0.575 0.150 0.726
Ga2 0.425 0.850 0.274
Pd1 0.717 0.434 0.151
Pd2 0.283 0.566 0.849


(9)
Entry from the Alexandria database: Sm2DyThN4 after structural relaxation (PBE-GGA).

Summary:
E: -8.43 eV/atom
symmetry: No. 10
crystal system: monoclinic
ΔE_f (raw): -1.59 eV/atom

Cell: 3.590 6.189 6.201 Å, 109.34 90.00 90.00°
Atoms (fractional coordinates):
Sm1 0.500 0.000 0.500
Sm2 0.000 0.500 0.500
Dy1 0.000 0.000 0.000
Th1 0.500 0.500 0.000
N1 0.500 0.248 0.241
N2 0.500 0.752 0.759
N3 0.000 0.252 0.758
N4 0.000 0.748 0.242


(10)
Entry from the Alexandria database: Cs4AgHg2As2 after structural relaxation (PBE-GGA).

Summary:
E: -2.03 eV/atom
symmetry: No. 12
crystal system: monoclinic
E_form: -2.1 eV/f.u.

Cell: 6.080 8.226 8.226 Å, 72.90 90.72 90.72°
Last column: magnetic moment on the atom in μB.
Atoms (fractional coordinates):
Cs1 0.188 0.624 0.131  0.01
Cs2 0.812 0.869 0.376  0.01
Cs3 0.812 0.376 0.869  0.01
Cs4 0.188 0.131 0.624  0.01
Ag1 0.500 0.000 0.000  0.04
Hg1 0.346 0.668 0.668  0.02
Hg2 0.654 0.332 0.332  0.02
As1 0.319 0.169 0.169  0.15
As2 0.681 0.831 0.831  0.15


(11)
Entry from the Alexandria database: CoTcRu2 after structural relaxation (PBE-GGA).

Summary:
excess energy over the best structure of this formula in the dataset: 29 meV/atom
E: -8.89 eV/atom
symmetry: No. 12
crystal system: monoclinic
E_form: 0.5 eV/f.u.

Cell: 4.576 4.576 4.633 Å, 80.77 80.77 33.81°
Atoms (fractional coordinates):
Co1 0.250 0.250 0.250
Ru1 0.998 0.998 0.009
Ru2 0.502 0.502 0.491
Tc1 0.750 0.750 0.750


(12)
Entry from the Alexandria database: AgRh2 after structural relaxation (PBE-GGA).

Summary:
excess energy over the best structure of this formula in the dataset: 39 meV/atom
E: -5.65 eV/atom
symmetry: No. 12
crystal system: monoclinic
E_form: 0.6 eV/f.u.

Cell: 5.211 5.211 6.894 Å, 75.18 75.18 30.73°
Atoms (fractional coordinates):
Ag1 0.637 0.637 0.972
Ag2 0.363 0.363 0.028
Rh1 0.027 0.027 0.677
Rh2 0.973 0.973 0.323
Rh3 0.694 0.694 0.372
Rh4 0.306 0.306 0.628


(13)
Entry from the Alexandria database: Cs2GaI7 after structural relaxation (PBE-GGA).

Summary:
E: -2.25 eV/atom
symmetry: No. 139
crystal system: tetragonal
ΔE_f (raw): -0.70 eV/atom

Cell: 8.608 8.608 8.798 Å, 60.71 60.71 90.00°
Atoms (fractional coordinates):
Cs1 0.750 0.250 0.500
Cs2 0.250 0.750 0.500
I1 0.000 0.000 0.000
I2 0.277 0.277 0.445
I3 0.723 0.723 0.555
I4 0.266 0.266 0.000
I5 0.734 0.734 0.000
I6 0.734 0.266 0.000
I7 0.266 0.734 0.000
Ga1 0.500 0.500 0.000


(14)
Entry from the Alexandria database: TaRu after structural relaxation (PBE-GGA).

Summary:
E: -10.57 eV/atom
symmetry: No. 187
crystal system: hexagonal
E_form: 0.0 eV/f.u.

Cell: 2.904 2.904 4.401 Å, 90.00 90.00 120.00°
Atoms (fractional coordinates):
Ru1 0.000 0.000 0.000
Ta1 0.333 0.667 0.500